Crystalline U4TlRh3S12 at its relaxed geometry, computed with PBE-GGA.

Output
Density of states at the Fermi level in states/eV/cell: 21.85
SG: Im-3, No. 204
Formation energy without anion corrections in eV/atom: -0.83
Size of the total moment in Bohr magnetons per cell: 3.97

a = 8.366 Å, b = 8.366 Å, c = 8.366 Å
α = 109.47°, β = 109.47°, γ = 109.47°
Atoms (fractional coordinates):
U: 0.000 0.000 0.500
U: 0.000 0.500 0.000
U: 0.500 0.000 0.000
U: 0.500 0.500 0.500
Tl: 0.000 0.000 0.000
Rh: 0.000 0.500 0.500
Rh: 0.500 0.000 0.500
Rh: 0.500 0.500 0.000
S: 0.157 0.836 0.320
S: 0.164 0.320 0.484
S: 0.164 0.680 0.843
S: 0.320 0.157 0.836
S: 0.320 0.484 0.164
S: 0.484 0.164 0.320
S: 0.516 0.836 0.680
S: 0.680 0.516 0.836
S: 0.680 0.843 0.164
S: 0.836 0.320 0.157
S: 0.836 0.680 0.516
S: 0.843 0.164 0.680